First-principles (GGA+U) data for a relaxed Li4Mo3O8 crystal, as listed in the Alexandria database.

- Crystal system: trigonal
- E above lowest polymorph: 44.1 meV per atom
- Total moment: 0.00 μB per cell

Cell: 11.3374 11.3374 11.3374 Å, 29.80 29.80 29.80°
Last column: nearest neighbours and their distance in Å.
Sites, in units of the cell vectors:
Li: 0.0000 0.0000 0.0000  6 O 2.34
Li: 0.1742 0.1742 0.1742  4 O 1.90-2.08
Li: 0.2456 0.2456 0.2456  6 O 2.06-2.09, 1 Li 2.26
Li: 0.3150 0.3150 0.3150  4 O 1.85-2.02
Li: 0.5000 0.5000 0.5000  6 O 2.18
Li: 0.6850 0.6850 0.6850  4 O 1.85-2.02
Li: 0.7544 0.7544 0.7544  6 O 2.06-2.09, 1 Li 2.26
Li: 0.8258 0.8258 0.8258  4 O 1.90-2.08
Mo: 0.2680 0.2680 0.7145  6 O 2.03-2.14
Mo: 0.2680 0.7145 0.2680  6 O 2.03-2.14
Mo: 0.2855 0.7320 0.7320  6 O 2.03-2.14
Mo: 0.7145 0.2680 0.2680  6 O 2.03-2.14
Mo: 0.7320 0.2855 0.7320  6 O 2.03-2.14
Mo: 0.7320 0.7320 0.2855  6 O 2.03-2.14
O: 0.1126 0.1126 0.6217  2 Li 2.02-2.09, 2 Mo 2.06
O: 0.1126 0.6217 0.1126  2 Li 2.02-2.09, 2 Mo 2.06
O: 0.1159 0.1159 0.1159  1 Li 1.90
O: 0.1287 0.6198 0.6198  2 Mo 2.03, 3 Li 2.06-2.18
O: 0.3719 0.3719 0.3719  1 Li 1.85
O: 0.3783 0.8874 0.8874  2 Li 2.02-2.09, 2 Mo 2.06
O: 0.3802 0.3802 0.8713  2 Mo 2.03, 3 Li 2.06-2.18
O: 0.3802 0.8713 0.3802  2 Mo 2.03, 3 Li 2.06-2.18
O: 0.6198 0.1287 0.6198  2 Mo 2.03, 3 Li 2.06-2.18
O: 0.6198 0.6198 0.1287  2 Mo 2.03, 3 Li 2.06-2.18
O: 0.6217 0.1126 0.1126  2 Li 2.02-2.09, 2 Mo 2.06
O: 0.6281 0.6281 0.6281  1 Li 1.85
O: 0.8713 0.3802 0.3802  2 Mo 2.03, 3 Li 2.06-2.18
O: 0.8841 0.8841 0.8841  1 Li 1.90
O: 0.8874 0.3783 0.8874  2 Li 2.02-2.09, 2 Mo 2.06
O: 0.8874 0.8874 0.3783  2 Li 2.02-2.09, 2 Mo 2.06